Below is an optimized crystal structure of Pm2Dy2Er3, with properties calculated at the PBE level.

For the relative energy among the computed polymorphs, the calculation gives 0 meV/atom. As for the energy relative to the elements: 0.02 eV/atom.

The space group is C2/m (No. 12) and the conventional cell measures 11.220, 5.032 and 7.962 Å, with angles of 90.00, 98.20 and 90.00 degrees. The asymmetric unit holds Pm at (0.072, 0.000, 0.215), Dy at (0.214, 0.000, 0.643), Er at (0.000, 0.500, 0.500) and Er at (0.143, 0.500, 0.928).